# Dy2Si7Au12

Dy2Si7Au12 after structural relaxation (PBE-GGA, Alexandria).

It has space group P-3 (No. 147), with a = 10.1541 Å, b = 10.1541 Å, c = 4.3390 Å, α = 90.00°, β = 90.00° and γ = 120.00°. The distinct sites, in fractional coordinates, are Dy at (0.3333, 0.6667, 0.2568), Si at (0.0000, 0.0000, 0.0000), Si at (0.1137, 0.3964, 0.7814), Au at (0.0774, 0.6142, 0.7439) and Au at (0.1261, 0.8590, 0.2837).

The calculation puts the total magnetic moment at 0.00 μB per cell. As for the uncorrected formation energy: -4.62 eV/f.u. Its crystal system is trigonal.